(1)
VASP calculation (PBE-GGA) on an optimized crystal structure of MnSbPt2.

Geometry as POSCAR:
```
MnSbPt2
1.0
-5.034 0.603 -0.233
-2.339 -4.217 -1.583
3.454 0.928 3.601
Mn Pt Sb
1 2 1
Cartesian
-2.632 -0.138 1.230
-0.001 -0.001 0.000
-1.287 -2.549 0.555
-3.685 -1.806 -0.908
```

Summary:
DOS at the Fermi energy = 0.4550 states/eV/atom
ΔE_f (raw) = -222 meV per atom
Space group = I-4m2, No. 119

(2)
VASP calculation (PBE-GGA) on an optimized crystal structure of Mn2SbPt.

Geometry as POSCAR:
```
Mn2SbPt
1.0
-5.047 7.248 -1.385
-7.036 5.114 -2.066
-6.639 5.936 0.788
Mn Pt Sb
2 1 1
Cartesian
-18.643 18.221 -2.652
-4.691 4.585 -0.667
-9.479 9.264 -1.349
-13.990 13.674 -1.990
```

Summary:
DOS at the Fermi energy = 0.3167 states/eV/atom
ΔE_f (raw) = 274 meV per atom
Space group = R3m, No. 160